A plane-wave DFT calculation with PBE was carried out for a geometry-optimized NdYCo4 structure.

```
data_NdYCo4
_chemical_formula_sum 'Nd4 Y4 Co16'
_symmetry_space_group_name_H-M 'F -4 3 m'
_symmetry_Int_Tables_number 216
_symmetry_space_group_name_Hall 'F -4 2 3'
_cell_length_a 7.260
_cell_length_b 7.260
_cell_length_c 7.260
_cell_angle_alpha 90.00
_cell_angle_beta 90.00
_cell_angle_gamma 90.00
loop_
_atom_site_label
_atom_site_type_symbol
_atom_site_fract_x
_atom_site_fract_y
_atom_site_fract_z
Nd1 Nd 0.000 0.000 0.000
Y1 Y 0.250 0.250 0.250
Co1 Co 0.125 0.125 0.625
```

Computed properties:
Calculated formation energy ... -0.10 eV per atom
ΔE to the lowest computed polymorph ... 0.021 eV per atom
Energy ... -6.708 eV per atom
Total moment ... 0.64 μB per atom